Below is an optimized crystal structure of Nd3Ge2Ru2, with properties calculated at the PBE level.

Energy relative to the elements ... -617 meV/atom

a = 5.7401 Å, b = 7.9619 Å, c = 13.7640 Å
α = 90.00°, β = 90.00°, γ = 90.00°
Element x y z (fractional)
Ge  0.3849  0.7500  0.5000
Ge  0.1358  0.1107  0.7500
Ge  0.3849  0.7500  0.0000
Nd  0.8504  0.5976  0.4011
Ru  0.6467  0.5301  0.9095
Ge  0.6151  0.2500  0.5000
Ru  0.6467  0.9699  0.0905
Ru  0.3533  0.0301  0.5905
Ge  0.8642  0.6107  0.7500
Nd  0.1496  0.0976  0.4011
Nd  0.8504  0.9024  0.9011
Nd  0.1496  0.0976  0.0989
Nd  0.8504  0.5976  0.0989
Nd  0.1496  0.4024  0.5989
Nd  0.1496  0.4024  0.9011
Nd  0.6276  0.2379  0.2500
Nd  0.8504  0.9024  0.5989
Nd  0.6276  0.2621  0.7500
Nd  0.3724  0.7379  0.2500
Ge  0.1358  0.3893  0.2500
Ge  0.6151  0.2500  0.0000
Ru  0.3533  0.4699  0.0905
Ru  0.3533  0.4699  0.4095
Ru  0.6467  0.9699  0.4095
Ge  0.8642  0.8893  0.2500
Ru  0.6467  0.5301  0.5905
Nd  0.3724  0.7621  0.7500
Ru  0.3533  0.0301  0.9095

=====

Below is an optimized crystal structure of NdGe3Ru, with properties calculated at the PBE level.

Energy relative to the elements ... -464 meV/atom

a = 5.7891 Å, b = 5.7781 Å, c = 6.1980 Å
α = 90.00°, β = 89.99°, γ = 90.00°
Element x y z (fractional)
Ge  0.8883  0.1000  0.7010
Ge  0.9546  0.5085  0.9317
Ge  0.4545  0.8445  0.9698
Nd  0.4252  0.3194  0.7007
Ru  0.1557  0.7914  0.7007
Ru  0.6556  0.5613  0.2007
Nd  0.9251  0.0333  0.2007
Ge  0.3884  0.2524  0.2010
Ge  0.4546  0.8445  0.4316
Ge  0.9543  0.5085  0.4698

=====

Below is an optimized crystal structure of NdSiGe2Ru2, with properties calculated at the PBE level.

Formation energy from raw total energies ... -0.29 eV/atom

a = 4.4615 Å, b = 4.4615 Å, c = 5.6398 Å
α = 90.00°, β = 90.00°, γ = 90.00°
Element x y z (fractional)
Ge  0.5000  0.5000  0.2739
Ge  0.5000  0.5000  0.7261
Nd  0.0000  0.0000  0.5000
Si  0.0000  0.0000  0.0000
Ru  0.5000  0.0000  0.0000
Ru  0.0000  0.5000  0.0000

=====

Below is an optimized crystal structure of NdTcGe3Ru, with properties calculated at the PBE level.

Energy relative to the elements ... -244 meV/atom

a = 5.7992 Å, b = 7.8341 Å, c = 6.8393 Å
α = 124.94°, β = 90.00°, γ = 90.00°
Element x y z (fractional)
Ge  0.5000  0.7500  0.0000
Nd  0.2500  0.7469  0.4939
Ge  0.2500  0.2539  0.5078
Ru  0.2500  0.4592  0.9184
Tc  0.7500  0.9517  0.9035
Ge  0.0000  0.7500  0.0000
Ge  0.7500  0.7461  0.4922
Ge  0.5000  0.2500  0.0000
Nd  0.7500  0.2531  0.5061
Ge  0.0000  0.2500  0.0000
Tc  0.2500  0.0483  0.0965
Ru  0.7500  0.5408  0.0816

=====

Below is an optimized crystal structure of NdZn2GeRu2, with properties calculated at the PBE level.

Energy relative to the elements ... -73 meV/atom

a = 4.5647 Å, b = 4.5647 Å, c = 5.7075 Å
α = 90.00°, β = 90.00°, γ = 90.00°
Element x y z (fractional)
Zn  0.5000  0.5000  0.2597
Nd  0.0000  0.0000  0.5000
Ru  0.0000  0.5000  0.0000
Ru  0.5000  0.0000  0.0000
Zn  0.5000  0.5000  0.7403
Ge  0.0000  0.0000  0.0000

=====

Below is an optimized crystal structure of Nd3GeS2, with properties calculated at the PBE level.

Formation energy from raw total energies ... -1.69 eV/atom

a = 4.1825 Å, b = 5.8733 Å, c = 7.1881 Å
α = 114.11°, β = 106.89°, γ = 90.00°
Element x y z (fractional)
Ge  0.5000  0.0000  0.0000
Nd  0.5000  0.5000  0.0000
S  0.8342  0.3346  0.6691
S  0.1658  0.6654  0.3309
Nd  0.1679  0.1679  0.3357
Nd  0.8321  0.8321  0.6643

=====

Below is an optimized crystal structure of NdGeS, with properties calculated at the PBE level.

Formation energy from raw total energies ... -1.16 eV/atom

a = 4.4234 Å, b = 4.4234 Å, c = 9.3732 Å
α = 76.35°, β = 76.35°, γ = 60.00°
Element x y z (fractional)
Ge  0.1504  0.1504  0.5488
Nd  0.4067  0.4067  0.7800
Nd  0.5933  0.5933  0.2200
S  0.7043  0.7043  0.8870
S  0.2957  0.2957  0.1130
Ge  0.8496  0.8496  0.4512

=====

Below is an optimized crystal structure of Nd5Ge2S2, with properties calculated at the PBE level.

Formation energy from raw total energies ... -1.24 eV/atom

a = 7.8850 Å, b = 7.7637 Å, c = 8.3282 Å
α = 117.78°, β = 90.00°, γ = 90.00°
Element x y z (fractional)
Nd  0.3383  0.6867  0.7172
Nd  0.6617  0.3133  0.2828
Nd  0.5000  0.5000  0.0000
Nd  0.3383  0.9695  0.2828
Ge  0.6268  0.8742  0.0000
Nd  0.6617  0.0305  0.7172
Nd  0.8383  0.8133  0.2828
Nd  0.8383  0.5305  0.7172
S  0.0000  0.8039  0.6078
Nd  0.0000  0.0000  0.0000
S  0.5000  0.3039  0.6078
Ge  0.1268  0.6258  0.0000
S  0.5000  0.6961  0.3922
S  0.0000  0.1961  0.3922
Nd  0.1617  0.4695  0.2828
Ge  0.3732  0.1258  0.0000
Ge  0.8732  0.3742  0.0000
Nd  0.1617  0.1867  0.7172